Compound: Y2SiNiC
Source: Alexandria via LeMat-Bulk
Functional: PBE
Structure: relaxed

**E_form (uncorrected)**: -0.3985 eV/atom
**Symmetry**: P4/mmm

Structure (POSCAR):
```
Y2SiNiC
1.0
4.9648 0.0000 0.0000
0.0000 4.9648 0.0000
0.0000 0.0000 3.6800
Y Si Ni C
2 1 1 1
Cartesian
0.0000 2.4824 0.0000 Y
2.4824 0.0000 0.0000 Y
0.0000 0.0000 1.8400 Si
2.4824 2.4824 1.8400 Ni
2.4824 2.4824 0.0000 C
```

---

Compound: BaSb2Au
Source: Alexandria via LeMat-Bulk
Functional: PBE
Structure: relaxed

**E_form (uncorrected)**: -0.4360 eV/atom
**Symmetry**: R-3m

Structure (POSCAR):
```
BaSb2Au
1.0
2.5437 1.4686 5.8448
-2.5437 1.4686 5.8448
0.0000 -2.9372 5.8448
Ba Sb Au
1 2 1
Cartesian
0.0000 0.0000 0.0000 Ba
0.0000 0.0000 3.5273 Sb
0.0000 0.0000 14.0070 Sb
0.0000 0.0000 8.7671 Au
```

---

Compound: Ca2NdSm4
Source: Alexandria via LeMat-Bulk
Functional: PBE
Structure: relaxed

**ΔE to the lowest computed polymorph**: 0 meV per atom
**Symmetry**: Immm
**Formation energy**: 0.129 eV per atom

Structure (POSCAR):
```
Ca2NdSm4
1.0
-1.7841 2.9689 11.8926
1.7841 -2.9689 11.8926
1.7841 2.9689 -11.8926
Ca Nd Sm
2 1 4
Cartesian
0.0000 0.0000 5.2526 Ca
0.0000 0.0000 18.5326 Ca
0.0000 0.0000 11.8926 Nd
1.7841 0.0000 1.9113 Sm
1.7841 0.0000 8.7819 Sm
0.0000 2.9689 3.1106 Sm
0.0000 2.9689 9.9813 Sm
```

---

Compound: Ta2AgCl
Source: Alexandria via LeMat-Bulk
Functional: PBE
Structure: relaxed

**E_form (uncorrected)**: 0.8469 eV/atom
**ΔE to the lowest computed polymorph**: 900 meV per atom
**Symmetry**: P4/mmm

Structure (POSCAR):
```
Ta2AgCl
1.0
3.9859 0.0000 0.0000
0.0000 3.9859 0.0000
0.0000 0.0000 4.7403
Ta Ag Cl
2 1 1
Cartesian
0.0000 1.9929 0.0000 Ta
1.9929 0.0000 0.0000 Ta
0.0000 0.0000 2.3701 Ag
1.9929 1.9929 2.3701 Cl
```

---

Compound: SiP2RuN
Source: Alexandria via LeMat-Bulk
Functional: PBE
Structure: relaxed

**E_form (uncorrected)**: -0.2044 eV/atom
**ΔE to the lowest computed polymorph**: 122 meV per atom
**Symmetry**: Cm

Structure (POSCAR):
```
SiP2RuN
1.0
4.7817 -1.4594 0.0000
4.7817 1.4594 0.0000
-2.6687 0.0000 4.9350
Si P Ru N
1 2 1 1
Cartesian
0.0000 0.0000 0.0000 Si
1.0535 0.0000 2.0091 P
3.1894 0.0000 2.1276 P
-0.6640 0.0000 3.5406 Ru
3.6985 0.0000 0.3922 N
```

---

Compound: LiHf3Au
Source: Alexandria via LeMat-Bulk
Functional: PBE
Structure: relaxed

**ΔE to the lowest computed polymorph**: 0 meV per atom
**Symmetry**: Pm-3m
**Formation energy**: 0.668 eV per atom

Structure (POSCAR):
```
LiHf3Au
1.0
4.6230 0.0000 0.0000
0.0000 4.6230 0.0000
0.0000 0.0000 4.6230
Li Hf Au
1 3 1
Cartesian
0.0000 0.0000 0.0000 Li
0.0000 0.0000 2.3115 Hf
0.0000 2.3115 0.0000 Hf
2.3115 0.0000 0.0000 Hf
2.3115 2.3115 2.3115 Au
```

---

Compound: Pr12NdTl3
Source: Alexandria via LeMat-Bulk
Functional: PBE
Structure: relaxed

**Symmetry**: P4/mmm
**Formation energy**: -0.147 eV per atom

Structure (POSCAR):
```
Pr12NdTl3
1.0
5.0474 0.0000 0.0000
0.0000 5.0474 0.0000
0.0000 0.0000 20.6737
Pr Nd Tl
12 1 3
Cartesian
0.0000 0.0000 0.0000 Pr
0.0000 0.0000 5.0417 Pr
0.0000 0.0000 10.3368 Pr
0.0000 0.0000 15.6320 Pr
0.0000 2.5237 2.5264 Pr
0.0000 2.5237 7.6029 Pr
0.0000 2.5237 13.0707 Pr
0.0000 2.5237 18.1473 Pr
2.5237 0.0000 2.5264 Pr
2.5237 0.0000 7.6029 Pr
2.5237 0.0000 13.0707 Pr
2.5237 0.0000 18.1473 Pr
2.5237 2.5237 10.3368 Nd
2.5237 2.5237 0.0000 Tl
2.5237 2.5237 5.0313 Tl
2.5237 2.5237 15.6424 Tl
```

---

Compound: RbAcIn4
Source: Alexandria via LeMat-Bulk
Functional: PBE
Structure: relaxed

**Symmetry**: F-43m
**Formation energy**: -0.210 eV per atom

Structure (POSCAR):
```
RbAcIn4
1.0
0.0000 4.5277 4.5277
4.5277 0.0000 4.5277
4.5277 4.5277 0.0000
Rb Ac In
1 1 4
Cartesian
0.0000 0.0000 0.0000 Rb
2.2639 2.2639 2.2639 Ac
5.6571 3.3984 3.3984 In
3.3984 5.6571 3.3984 In
3.3984 3.3984 5.6571 In
5.6571 5.6571 5.6571 In
```

---

Compound: InCoAg2
Source: Alexandria via LeMat-Bulk
Functional: PBE
Structure: relaxed

**Symmetry**: Pmmm
**Formation energy**: 0.213 eV per atom

Structure (POSCAR):
```
InCoAg2
1.0
3.9596 0.0000 0.0000
0.0000 3.9795 0.0000
0.0000 0.0000 4.2969
In Co Ag
1 1 2
Cartesian
0.0000 0.0000 0.0000 In
1.9798 1.9897 0.0000 Co
0.0000 1.9897 2.1484 Ag
1.9798 0.0000 2.1484 Ag
```

---

Compound: BaIn2Pt2
Source: Alexandria via LeMat-Bulk
Functional: PBE
Structure: relaxed

**Symmetry**: I4/mmm
**Formation energy**: -0.601 eV per atom

Structure (POSCAR):
```
BaIn2Pt2
1.0
-2.4939 2.4939 5.1957
2.4939 -2.4939 5.1957
2.4939 2.4939 -5.1957
Ba In Pt
1 2 2
Cartesian
0.0000 0.0000 0.0000 Ba
0.0000 0.0000 3.6856 In
0.0000 0.0000 6.7058 In
2.4939 0.0000 2.5978 Pt
0.0000 2.4939 2.5978 Pt
```

---

Compound: Tc3AgPd
Source: Alexandria via LeMat-Bulk
Functional: PBE
Structure: relaxed

**ΔE to the lowest computed polymorph**: 0 meV per atom
**Symmetry**: Pm-3m
**Formation energy**: 2.146 eV per atom

Structure (POSCAR):
```
Tc3AgPd
1.0
4.7105 0.0000 0.0000
0.0000 4.7105 0.0000
0.0000 0.0000 4.7105
Tc Ag Pd
3 1 1
Cartesian
0.0000 0.0000 2.3553 Tc
0.0000 2.3553 0.0000 Tc
2.3553 0.0000 0.0000 Tc
2.3553 2.3553 2.3553 Ag
0.0000 0.0000 0.0000 Pd
```

---

Compound: Cs6RbBrO
Source: Alexandria via LeMat-Bulk
Functional: PBE
Structure: relaxed

**E_form (uncorrected)**: -0.6884 eV/atom
**Symmetry**: P312

Structure (POSCAR):
```
Cs6RbBrO
1.0
9.1806 0.0000 0.0000
-4.5903 7.9507 0.0000
0.0000 0.0000 9.4359
Cs Rb Br O
6 1 1 1
Cartesian
-0.9488 3.0821 1.7563 Cs
-2.3955 5.5879 7.6796 Cs
0.9488 3.0821 7.6796 Cs
-1.4468 7.2313 1.7563 Cs
2.3955 5.5879 1.7563 Cs
1.4468 7.2313 7.6796 Cs
4.5903 2.6502 4.7180 Rb
0.0000 0.0000 0.0000 Br
0.0000 5.3004 0.0000 O
```

---

Electronic total energy list, top to bottom, in eV per atom: -7.07 -3.80 -3.82 -6.25 -6.97 -6.34 -4.47 -2.88 -3.67 -4.50 -5.68 -2.10